Mn4GaW after structural relaxation, computed with GGA-PBE.

Structure (extended XYZ):
```
6
Lattice="-1.920 -1.542 4.032 -4.418 -1.676 0.023 -0.771 -4.618 0.635" Properties=species:S:1:pos:R:3 pbc="T T T"
Mn -4.055 -2.596 2.613
Mn -2.242 -4.059 2.917
Mn -4.438 -4.893 2.928
Mn -3.483 -4.126 0.923
Ga -1.777 -1.959 1.173
W 0.000 0.000 0.000
```

Computed properties:
total magnetic moment = 0.635 μB per atom
theoretical density = 10.536 g/cm3
symmetry = F-43m
final energy = -8.759 eV/atom

---

Mn2Ga2W after structural relaxation, computed with GGA-PBE.

Structure (extended XYZ):
```
10
Lattice="-1.679 2.690 -6.115 -4.729 -4.932 -0.871 -1.982 1.674 1.281" Properties=species:S:1:pos:R:3 pbc="T T T"
Mn -4.418 -2.001 -0.954
Mn -6.054 -1.486 -4.158
Mn -3.972 1.433 -4.752
Mn -2.336 0.918 -1.548
Ga -4.717 -3.289 -3.000
Ga -4.449 -0.789 -5.854
Ga -1.691 1.047 -3.986
Ga -1.959 -1.453 -1.132
W 0.000 0.000 0.000
W -3.204 -1.121 -3.493
```

Computed properties:
total magnetic moment = 0.002 μB per atom
theoretical density = 10.478 g/cm3
symmetry = P4/mbm
final energy = -7.243 eV/atom

---

MnGaW after structural relaxation, computed with GGA-PBE.

Structure (extended XYZ):
```
12
Lattice="4.027 0.000 0.000 0.000 5.389 0.000 0.000 0.000 8.703" Properties=species:S:1:pos:R:3 pbc="T T T"
Ga 3.020 5.215 1.444
Ga 1.007 2.520 2.908
Ga 1.007 0.175 7.259
Ga 3.020 2.869 5.795
Mn 3.020 3.894 3.583
Mn 1.007 1.199 0.768
Mn 1.007 1.495 5.120
Mn 3.020 4.190 7.934
W 3.020 2.534 1.073
W 1.007 5.229 3.278
W 1.007 2.855 7.630
W 3.020 0.160 5.424
```

Computed properties:
ΔE to the lowest computed polymorph = 0.749 eV per formula unit
total magnetic moment = 0.000 μB per atom
theoretical density = 10.849 g/cm3
symmetry = Pnma

---

MnGa3W after structural relaxation, computed with GGA-PBE.

Structure (extended XYZ):
```
5
Lattice="-3.687 -3.275 0.463 1.314 -0.815 4.705 -3.035 3.626 1.475" Properties=species:S:1:pos:R:3 pbc="T T T"
Mn -2.704 -0.232 3.322
Ga 0.657 -0.407 2.353
Ga -1.517 1.813 0.738
Ga -1.844 -1.637 0.232
W 0.000 0.000 0.000
```

Computed properties:
ΔE to the lowest computed polymorph = 0.000 eV per formula unit
total magnetic moment = 1.076 μB per atom
theoretical density = 6.122 g/cm3
symmetry = Pm-3m

---

Q: Look up the total magnetic moment of the third one.
A: 0.000 μB per atom

---

Q: The lowest theoretical density belongs to which entry?
A: MnGa3W

---

Q: What is the total magnetic moment in the third record?
A: 0.000 μB per atom